# 1
Below is a relaxed structure of Nd2AsBr, with properties calculated at the PBE level.

- Fermi-level density of states (states/eV per cell) = 3.9
- E (eV per atom) = -5.377

Cell: 4.1807 4.1807 22.6994 Å, 90.00 90.00 120.00°
Last column: nearest neighbours and their distance in Å.
Space group R3m (No. 160, hexagonal axes)
Inequivalent atoms, fractional coordinates:
Nd  0.0000  0.0000  0.0000 [3 per cell]  3 As 2.88
Nd  0.0000  0.0000  0.1928 [3 per cell]  3 As 2.91
As  0.0000  0.0000  0.5977 [3 per cell]  6 Nd 2.88-2.91
Br  0.0000  0.0000  0.4286 [3 per cell]  6 Nd 3.24-3.27


# 2
Below is a relaxed structure of Nd5As4Br, with properties calculated at the PBE level.

- Fermi-level density of states (states/eV per cell) = 6.6
- E (eV per atom) = -5.922

Cell: 9.5855 9.5855 6.0308 Å, 90.00 90.00 90.00°
Last column: nearest neighbours and their distance in Å.
Space group I4/m (No. 87)
Inequivalent atoms, fractional coordinates:
Nd  0.0000  0.0000  0.0000 [2 per cell]  4 As 3.01, 2 Br 3.02
Nd  0.1063  0.6845  0.5000 [8 per cell]  5 As 2.91-3.07, 1 Br 3.19
As  0.1033  0.7033  0.0000 [8 per cell]  6 Nd 2.91-3.07
Br  0.0000  0.0000  0.5000 [2 per cell]  6 Nd 3.02-3.19


# 3
Below is a relaxed structure of Nd4NiAsBr2, with properties calculated at the PBE level.

- Fermi-level density of states (states/eV per cell) = 5.7
- E (eV per atom) = -5.194

Cell: 7.5362 4.0769 7.6985 Å, 90.00 107.16 90.00°
Last column: nearest neighbours and their distance in Å.
Space group P2/m (No. 10)
Inequivalent atoms, fractional coordinates:
Nd  0.2123  0.0000  0.1994 [2 per cell]  2 Ni 2.76, 1 As 3.00
Nd  0.2565  0.5000  0.7865 [2 per cell]  1 Ni 2.88, 2 As 2.91, 2 Br 3.20
Ni  0.0000  0.5000  0.0000 [1 per cell]  6 Nd 2.76-2.88
As  0.5000  0.0000  0.0000 [1 per cell]  6 Nd 2.91-3.00
Br  0.0000  0.0000  0.5000 [1 per cell]  6 Nd 3.18-3.20
Br  0.5000  0.5000  0.5000 [1 per cell]  6 Nd 3.26-3.35


# 4
Below is a relaxed structure of Nd6Ni2AsBr3, with properties calculated at the PBE level.

- Fermi-level density of states (states/eV per cell) = 22.0
- E (eV per atom) = -5.138

Cell: 19.1143 4.0514 9.0960 Å, 90.00 106.56 90.00°
Last column: nearest neighbours and their distance in Å.
Space group C2/m (No. 12)
Inequivalent atoms, fractional coordinates:
Nd  0.0130  0.0000  0.2345 [4 per cell]  1 Ni 2.82, 2 As 2.90
Nd  0.1628  0.5000  0.1217 [4 per cell]  2 Ni 2.78, 1 As 2.99
Nd  0.1771  0.5000  0.5455 [4 per cell]  3 Ni 2.77-2.87
Ni  0.1667  0.0000  0.3325 [4 per cell]  6 Nd 2.77-2.87
As  0.0000  0.5000  0.0000 [2 per cell]  6 Nd 2.90-2.99
Br  0.0000  0.5000  0.5000 [2 per cell]  6 Nd 3.22-3.29
Br  0.1610  0.0000  0.8350 [4 per cell]  6 Nd 3.20-3.41


# 5
Below is a relaxed structure of Nd6AsP2Br3, with properties calculated at the PBE level.

- Fermi-level density of states (states/eV per cell) = 7.5
- E (eV per atom) = -5.568

Cell: 18.9652 4.2114 8.7432 Å, 90.00 106.32 90.00°
Last column: nearest neighbours and their distance in Å.
Space group C2/m (No. 12)
Inequivalent atoms, fractional coordinates:
Nd  0.0134  0.0000  0.2321 [4 per cell]  1 P 2.81, 2 As 2.89
Nd  0.1595  0.5000  0.1154 [4 per cell]  2 P 2.82, 1 As 2.91
Nd  0.1776  0.5000  0.5562 [4 per cell]  3 P 2.82-2.83
As  0.0000  0.5000  0.0000 [2 per cell]  6 Nd 2.89-2.91
P  0.1679  0.0000  0.3350 [4 per cell]  6 Nd 2.81-2.83
Br  0.0000  0.5000  0.5000 [2 per cell]  6 Nd 3.21-3.26
Br  0.1657  0.0000  0.8330 [4 per cell]  6 Nd 3.22-3.28


# 6
Below is a relaxed structure of Nd6As3P2Br, with properties calculated at the PBE level.

- Fermi-level density of states (states/eV per cell) = 8.2
- E (eV per atom) = -6.114

Cell: 18.4463 4.2314 8.5247 Å, 90.00 102.85 90.00°
Last column: nearest neighbours and their distance in Å.
Space group C2/m (No. 12)
Inequivalent atoms, fractional coordinates:
Nd  0.0038  0.0000  0.2719 [4 per cell]  3 As 2.88-3.00, 1 P 2.93, 2 Br 3.13
Nd  0.1690  0.5000  0.5793 [4 per cell]  3 P 2.96-2.98, 3 As 3.04-3.06
Nd  0.1748  0.5000  0.0959 [4 per cell]  3 As 2.93-3.04, 2 P 2.95, 1 Br 3.14
As  0.0000  0.5000  0.5000 [2 per cell]  6 Nd 2.88-3.04
As  0.1626  0.0000  0.8356 [4 per cell]  6 Nd 2.93-3.06
P  0.1666  0.0000  0.3321 [4 per cell]  6 Nd 2.93-2.98
Br  0.0000  0.5000  0.0000 [2 per cell]  6 Nd 3.13-3.14


# 7
Below is a relaxed structure of Nd3AsPbBr, with properties calculated at the PBE level.

- Fermi-level density of states (states/eV per cell) = 6.8
- E (eV per atom) = -5.157

Cell: 7.6060 4.2691 11.6366 Å, 90.00 102.34 90.00°
Last column: nearest neighbours and their distance in Å.
Space group P2_1/m (No. 11)
Inequivalent atoms, fractional coordinates:
Nd  0.0460  0.2500  0.1449 [2 per cell]  3 As 3.01-3.03, 1 Br 3.11
Nd  0.2821  0.2500  0.4978 [2 per cell]  3 Br 3.06-3.14, 3 Pb 3.23-3.25
Nd  0.4533  0.7500  0.8471 [2 per cell]  3 As 3.03-3.06, 1 Br 3.13, 2 Pb 3.32
As  0.2343  0.2500  0.9421 [2 per cell]  6 Nd 3.01-3.06
Pb  0.3475  0.7500  0.3027 [2 per cell]  7 Nd 3.23-3.37
Br  0.1232  0.7500  0.6342 [2 per cell]  5 Nd 3.06-3.14


# 8
Below is a relaxed structure of Nd6AsPt2Br3, with properties calculated at the PBE level.

- Fermi-level density of states (states/eV per cell) = 20.5
- E (eV per atom) = -5.464

Cell: 7.4519 12.8878 7.8505 Å, 90.00 108.47 90.00°
Last column: nearest neighbours and their distance in Å.
Space group C2/m (No. 12)
Inequivalent atoms, fractional coordinates:
Nd  0.2215  0.0000  0.2031 [4 per cell]  2 Pt 2.87, 1 As 2.99
Nd  0.2426  0.3269  0.2043 [8 per cell]  2 Pt 2.87, 1 As 3.00
As  0.0000  0.5000  0.0000 [2 per cell]  6 Nd 2.99-3.00
Pt  0.0000  0.1674  0.0000 [4 per cell]  6 Nd 2.87
Br  0.0000  0.0000  0.5000 [2 per cell]  6 Nd 3.26-3.35
Br  0.0000  0.3413  0.5000 [4 per cell]  6 Nd 3.30-3.37


# 9
Below is a relaxed structure of Nd4AsRhBr2, with properties calculated at the PBE level.

- Fermi-level density of states (states/eV per cell) = 5.7
- E (eV per atom) = -5.496

Cell: 7.6405 4.1126 7.7682 Å, 90.00 107.03 90.00°
Last column: nearest neighbours and their distance in Å.
Space group P2/m (No. 10)
Inequivalent atoms, fractional coordinates:
Nd  0.2162  0.0000  0.1987 [2 per cell]  2 Rh 2.80, 1 As 3.01
Nd  0.2564  0.5000  0.7914 [2 per cell]  1 Rh 2.88, 2 As 2.92
As  0.5000  0.0000  0.0000 [1 per cell]  6 Nd 2.92-3.01
Rh  0.0000  0.5000  0.0000 [1 per cell]  6 Nd 2.80-2.88
Br  0.0000  0.0000  0.5000 [1 per cell]  6 Nd 3.24-3.25
Br  0.5000  0.5000  0.5000 [1 per cell]  6 Nd 3.33-3.38


# 10
Below is a relaxed structure of Nd8AsRh3Br4, with properties calculated at the PBE level.

- Fermi-level density of states (states/eV per cell) = 31.7
- E (eV per atom) = -5.578

Cell: 8.4114 8.4114 23.0363 Å, 90.00 90.00 120.00°
Last column: nearest neighbours and their distance in Å.
Space group R-3m (No. 166, hexagonal axes)
Inequivalent atoms, fractional coordinates:
Nd  0.0000  0.0000  0.2326 [6 per cell]  3 Rh 2.86
Nd  0.0137  0.5069  0.7672 [18 per cell]  2 Rh 2.83, 1 As 2.95
As  0.0000  0.0000  0.5000 [3 per cell]  6 Nd 2.95
Rh  0.0000  0.5000  0.5000 [9 per cell]  6 Nd 2.83-2.86
Br  0.0000  0.0000  0.0000 [3 per cell]  6 Nd 3.28
Br  0.0000  0.5000  0.0000 [9 per cell]  6 Nd 3.36-3.39


# 11
Below is a relaxed structure of Nd6AsRh2Br3, with properties calculated at the PBE level.

- Fermi-level density of states (states/eV per cell) = 8.8
- E (eV per atom) = -5.560

Cell: 7.3038 12.6419 8.0214 Å, 90.00 107.51 90.00°
Last column: nearest neighbours and their distance in Å.
Space group C2/m (No. 12)
Inequivalent atoms, fractional coordinates:
Nd  0.2177  0.0000  0.1999 [4 per cell]  2 Rh 2.83, 1 As 2.97
Nd  0.2412  0.3258  0.2003 [8 per cell]  2 Rh 2.83, 1 As 2.97
As  0.0000  0.5000  0.0000 [2 per cell]  6 Nd 2.97
Rh  0.0000  0.1671  0.0000 [4 per cell]  6 Nd 2.83
Br  0.0000  0.0000  0.5000 [2 per cell]  6 Nd 3.26-3.39
Br  0.0000  0.3379  0.5000 [4 per cell]  6 Nd 3.30-3.38


# 12
Below is a relaxed structure of Nd4AsRuBr2, with properties calculated at the PBE level.

- Fermi-level density of states (states/eV per cell) = 5.3
- E (eV per atom) = -5.630

Cell: 7.5714 4.1342 7.8352 Å, 90.00 106.12 90.00°
Last column: nearest neighbours and their distance in Å.
Space group P2/m (No. 10)
Inequivalent atoms, fractional coordinates:
Nd  0.2197  0.0000  0.2005 [2 per cell]  2 Ru 2.84, 1 As 2.97
Nd  0.2462  0.5000  0.8028 [2 per cell]  1 Ru 2.73, 2 As 2.95
As  0.5000  0.0000  0.0000 [1 per cell]  6 Nd 2.95-2.97
Ru  0.0000  0.5000  0.0000 [1 per cell]  6 Nd 2.73-2.84
Br  0.0000  0.0000  0.5000 [1 per cell]  6 Nd 3.23-3.30
Br  0.5000  0.5000  0.5000 [1 per cell]  6 Nd 3.39-3.44


Fermi-level density of states of number 11 (Nd6AsRh2Br3)? 8.8 states/eV per cell


Which of these has the highest E? Nd6Ni2AsBr3


Which of these has the highest E? Nd6Ni2AsBr3